*w*
# SiB3Pt

SiB3Pt after structural relaxation (GGA-PBE, the Alexandria database).

a b c (Å): 4.139 4.139 4.139
angles (deg): 90.00 90.00 90.00
Element x y z (fractional)
Pt 0.000 0.000 0.000
B 0.000 0.000 0.500
B 0.000 0.500 0.000
B 0.500 0.000 0.000
Si 0.500 0.500 0.500

Total magnetization, μB/atom: 0.00
Space group: Pm-3m

*x*
# SiB3Pt

SiB3Pt after structural relaxation (GGA-PBE, the Alexandria database).

a b c (Å): 3.961 3.961 3.961
angles (deg): 90.00 90.00 90.00
Element x y z (fractional)
Pt 0.500 0.500 0.500
B 0.500 0.000 0.000
B 0.000 0.500 0.000
B 0.000 0.000 0.500
Si 0.000 0.000 0.000

Total magnetization, μB/atom: 0.00
Space group: Pm-3m

*w* is favored, and the nearest alternative lies 193 meV/atom above it.

*w*
# SmB2Pt6

SmB2Pt6 after structural relaxation (GGA-PBE, the Alexandria database).

a b c (Å): 7.584 7.584 7.584
angles (deg): 60.00 60.00 60.00
Element x y z (fractional)
Pt 0.466 0.466 0.034
Pt 0.784 0.216 0.784
Pt 0.034 0.466 0.466
Pt 0.216 0.216 0.784
Pt 0.216 0.784 0.784
Pt 0.784 0.216 0.216
Pt 0.216 0.784 0.216
Pt 0.034 0.034 0.466
Pt 0.466 0.034 0.034
Pt 0.034 0.466 0.034
Pt 0.466 0.034 0.466
Pt 0.784 0.784 0.216
B 0.125 0.625 0.125
B 0.625 0.125 0.125
B 0.125 0.125 0.625
B 0.125 0.125 0.125
Sm 0.750 0.750 0.750
Sm 0.500 0.500 0.500

Total magnetization, μB/atom: 0.00
Space group: Fd-3m

*x*
# SmB2Pt6

SmB2Pt6 after structural relaxation (GGA-PBE, the Alexandria database).

a b c (Å): 5.624 5.624 5.558
angles (deg): 90.00 90.00 120.00
Element x y z (fractional)
Pt 0.500 0.500 0.246
Pt 0.500 0.000 0.754
Pt 0.500 0.500 0.754
Pt 0.000 0.500 0.246
Pt 0.500 0.000 0.246
Pt 0.000 0.500 0.754
B 0.333 0.667 0.500
B 0.667 0.333 0.500
Sm 0.000 0.000 0.000

Total magnetization, μB/atom: 0.00
Space group: P6/mmm

*x* is favored, and the nearest alternative lies 175 meV/atom above it.

*w*
# Sn3BPt

Sn3BPt after structural relaxation (GGA-PBE, the Alexandria database).

a b c (Å): 5.215 5.215 5.215
angles (deg): 90.00 90.00 90.00
Element x y z (fractional)
Sn 0.000 0.000 0.500
Sn 0.500 0.000 0.000
Sn 0.000 0.500 0.000
Pt 0.000 0.000 0.000
B 0.500 0.500 0.500

Total magnetization, μB/atom: 0.00
Space group: Pm-3m

*x*
# Sn3BPt

Sn3BPt after structural relaxation (GGA-PBE, the Alexandria database).

a b c (Å): 4.714 4.714 4.714
angles (deg): 90.00 90.00 90.00
Element x y z (fractional)
Sn 0.000 0.000 0.500
Sn 0.000 0.500 0.000
Sn 0.500 0.000 0.000
B 0.000 0.000 0.000
Pt 0.500 0.500 0.500

Total magnetization, μB/atom: 0.00
Space group: Pm-3m

*x* is favored, and the nearest alternative lies 428 meV/atom above it.

*w*
# SnBPt3

SnBPt3 after structural relaxation (GGA-PBE, the Alexandria database).

a b c (Å): 4.984 4.984 4.984
angles (deg): 90.00 90.00 90.00
Element x y z (fractional)
Pt 0.000 0.000 0.500
Pt 0.500 0.000 0.000
Pt 0.000 0.500 0.000
Sn 0.000 0.000 0.000
B 0.500 0.500 0.500

Total magnetization, μB/atom: 0.00
Space group: Pm-3m

*x*
# SnBPt3

SnBPt3 after structural relaxation (GGA-PBE, the Alexandria database).

a b c (Å): 4.311 4.311 4.311
angles (deg): 90.00 90.00 90.00
Element x y z (fractional)
B 0.000 0.000 0.000
Pt 0.000 0.500 0.000
Pt 0.000 0.000 0.500
Pt 0.500 0.000 0.000
Sn 0.500 0.500 0.500

Total magnetization, μB/atom: 0.00
Space group: Pm-3m

*x* is favored, and the nearest alternative lies 1879 meV/atom above it.

*w*
# SrB3Pt

SrB3Pt after structural relaxation (GGA-PBE, the Alexandria database).

a b c (Å): 4.239 4.239 4.239
angles (deg): 90.00 90.00 90.00
Site moments in Bohr magnetons follow the coordinates.
Element x y z (fractional)
Sr 0.500 0.500 0.500  0.05
B 0.500 0.000 0.000  0.13
B 0.000 0.000 0.500  0.17
B 0.000 0.500 0.000  0.09
Pt 0.000 0.000 0.000  0.17

Total magnetization, μB/atom: 0.22
Space group: Pm-3m

*x*
# SrB3Pt

SrB3Pt after structural relaxation (GGA-PBE, the Alexandria database).

a b c (Å): 4.548 4.548 4.548
angles (deg): 90.00 90.00 90.00
Element x y z (fractional)
B 0.000 0.000 0.500
B 0.000 0.500 0.000
B 0.500 0.000 0.000
Sr 0.000 0.000 0.000
Pt 0.500 0.500 0.500

Total magnetization, μB/atom: 0.00
Space group: Pm-3m

*w* is favored, and the nearest alternative lies 2398 meV/atom above it.

*w*
# SrBPt3

SrBPt3 after structural relaxation (GGA-PBE, the Alexandria database).

a b c (Å): 5.302 5.302 5.302
angles (deg): 90.00 90.00 90.00
Element x y z (fractional)
Sr 0.000 0.000 0.000
Pt 0.500 0.000 0.000
Pt 0.000 0.000 0.500
Pt 0.000 0.500 0.000
B 0.500 0.500 0.500

Total magnetization, μB/atom: 0.00
Space group: Pm-3m

*x*
# SrBPt3

SrBPt3 after structural relaxation (GGA-PBE, the Alexandria database).

a b c (Å): 4.399 4.399 4.399
angles (deg): 90.00 90.00 90.00
Element x y z (fractional)
Pt 0.000 0.000 0.500
Pt 0.500 0.000 0.000
Pt 0.000 0.500 0.000
Sr 0.500 0.500 0.500
B 0.000 0.000 0.000

Total magnetization, μB/atom: 0.00
Space group: Pm-3m

*x* is favored, and the nearest alternative lies 2921 meV/atom above it.